[1]
Sm3Ni2: relaxed, GGA-PBE.

Cell lengths 7.701, 7.701, 3.903 Å; angles 90.00, 90.00, 90.00 degrees
Space group P4/mbm (No. 127)
Unique sites:
Sm 0.000 0.000 0.000 (multiplicity 2)
Sm 0.166 0.334 0.500 (multiplicity 4)
Ni 0.119 0.619 0.000 (multiplicity 4)

- ΔE_f: -1.2 eV/f.u.
- V: 23.15 Å³/atom
- Electronic total energy: -5.3923 eV per atom

=====

[2]
SmNi4: relaxed, GGA-PBE.

Cell lengths 4.638, 4.638, 4.638 Å; angles 90.00, 90.00, 90.00 degrees
Space group Pm-3m (No. 221)
Unique sites:
Sm 0.000 0.000 0.000 (multiplicity 1)
Ni 0.000 0.000 0.500 (multiplicity 3)
Ni 0.500 0.500 0.500 (multiplicity 1)

- ΔE_f: 8.0 eV/f.u.
- V: 19.95 Å³/atom
- Electronic total energy: -3.9664 eV per atom

=====

[3]
Sm7Ni3: relaxed, GGA-PBE.

Cell lengths 9.8051, 9.8051, 6.2919 Å; angles 90.00, 90.00, 120.00 degrees
Space group P6_3mc (No. 186)
Unique sites:
Sm 0.0783 0.5392 0.0000 (multiplicity 6)
Sm 0.1258 0.2515 0.3112 (multiplicity 6)
Sm 0.3333 0.6667 0.5232 (multiplicity 2)
Ni 0.1893 0.3785 0.7513 (multiplicity 6)

- ΔE_f: -2.2 eV/f.u.
- V: 26.19 Å³/atom
- Electronic total energy: -5.2580 eV per atom

=====

[4]
Sm2Ni17: relaxed, GGA-PBE.

Cell lengths 8.3335, 8.3335, 12.1046 Å; angles 90.00, 90.00, 120.00 degrees
Space group R-3m (No. 166, hexagonal axes)
Unique sites:
Sm 0.0000 0.0000 0.1597 (multiplicity 6)
Ni 0.0000 0.0000 0.4014 (multiplicity 6)
Ni 0.0000 0.2910 0.5000 (multiplicity 18)
Ni 0.0000 0.5000 0.0000 (multiplicity 9)
Ni 0.0018 0.5009 0.3454 (multiplicity 18)

- ΔE_f: -3.3 eV/f.u.
- V: 12.77 Å³/atom
- Electronic total energy: -5.8451 eV per atom